LaHfH2Br, optimized geometry, DFT PBE; E = -0.17530 hartree per atom; space-group type = P4/mmm, No. 123; size of the total moment = 0.00 μB per cell
1.0
4.103 0.000 0.000
0.000 6.448 0.000
0.000 0.000 4.103
H Hf Br La
2 1 1 1
direct
0.000 0.000 0.500 H
0.500 0.000 0.000 H
0.000 0.000 0.000 Hf
0.500 0.500 0.500 Br
0.000 0.500 0.000 La

LaHf2HBr, optimized geometry, DFT PBE; E = -0.22047 hartree per atom; space-group type = P4/mmm, No. 123; size of the total moment = 0.00 μB per cell
1.0
4.268 0.000 0.000
0.000 5.970 0.000
0.000 0.000 4.268
H Hf Br La
1 2 1 1
direct
0.000 0.000 0.000 H
0.000 0.000 0.500 Hf
0.500 0.000 0.000 Hf
0.000 0.500 0.000 Br
0.500 0.500 0.500 La

HfMo2HBr, optimized geometry, DFT PBE; E = -0.19504 hartree per atom; space-group type = P4/mmm, No. 123; size of the total moment = 0.00 μB per cell
1.0
-3.365 2.865 -1.247
-3.247 -3.764 0.116
-0.877 0.893 4.418
H Mo Hf Br
1 2 1 1
direct
0.500 0.500 0.500 H
0.000 0.000 0.500 Mo
0.500 0.000 0.000 Mo
0.000 0.500 0.000 Hf
0.000 0.000 0.000 Br

NaHf2HBr, optimized geometry, DFT PBE; E = -0.12362 hartree per atom; space-group type = P4/mmm, No. 123; size of the total moment = 2.00 μB per cell
1.0
-2.334 4.292 1.883
-1.825 1.029 -4.607
-4.290 -2.804 1.073
Na Hf Br H
1 2 1 1
direct
0.000 0.000 0.000 Na
0.000 0.000 0.500 Hf
0.500 0.000 0.000 Hf
0.000 0.500 0.000 Br
0.500 0.500 0.500 H

HfNi2HBr, optimized geometry, DFT PBE; E = -0.18724 hartree per atom; space-group type = P4/mmm, No. 123; size of the total moment = 0.00 μB per cell
1.0
-0.563 3.338 -1.789
-2.494 -2.027 -2.997
-3.102 0.631 2.154
Ni Hf Br H
2 1 1 1
direct
0.000 0.000 0.500 Ni
0.500 0.000 0.000 Ni
0.000 0.500 0.000 Hf
0.500 0.500 0.500 Br
0.000 0.000 0.000 H

HfH2PbBr, optimized geometry, DFT PBE; E = -0.13335 hartree per atom; space-group type = P4/mmm, No. 123; size of the total moment = 1.73 μB per cell
1.0
-1.238 1.049 3.630
5.942 -2.043 2.616
1.493 3.645 -0.545
Pb H Hf Br
1 2 1 1
direct
0.000 0.000 0.000 Pb
0.000 0.000 0.500 H
0.500 0.000 0.000 H
0.500 0.500 0.500 Hf
0.000 0.500 0.000 Br